i.
A geometry-optimized BiPd3I structure. Source: the Alexandria database, functional PBE.

```
data_BiPd3I
_chemical_formula_sum 'Bi1 Pd3 I1'
_space_group_name_H-M_alt 'P m -3 m'
_space_group_IT_number 221
_space_group_name_Hall '-P 4 2 3'
_cell_length_a 5.172
_cell_length_b 5.172
_cell_length_c 5.172
_cell_angle_alpha 90.00
_cell_angle_beta 90.00
_cell_angle_gamma 90.00
loop_
_atom_site_label
_atom_site_fract_x
_atom_site_fract_y
_atom_site_fract_z
Bi1 0.000 0.000 0.000
Pd1 0.000 0.000 0.500
I1 0.500 0.500 0.500
```

Results
As for the calculated volume: 27.67 Å³ per atom. As for the crystal system: cubic. Its size of the total moment is 0.000 μB per formula unit.

---

ii.
A geometry-optimized BiPd3I structure. Source: the Alexandria database, functional PBE.

```
data_BiPd3I
_chemical_formula_sum 'Bi2 Pd6 I2'
_space_group_name_H-M_alt 'P m m n'
_space_group_IT_number 59
_cell_length_a 3.716
_cell_length_b 7.038
_cell_length_c 8.096
_cell_angle_alpha 90.00
_cell_angle_beta 90.00
_cell_angle_gamma 90.00
loop_
_space_group_symop_operation_xyz
'x,y,z'
'-x,-y,-z'
'-x+1/2,-y+1/2,z'
'x+1/2,y+1/2,-z'
'x+1/2,-y,-z'
'-x+1/2,y,z'
'-x,y+1/2,-z'
'x,-y+1/2,z'
loop_
_atom_site_label
_atom_site_fract_x
_atom_site_fract_y
_atom_site_fract_z
Bi1 0.250 0.250 0.012
Pd1 0.250 0.548 0.778
Pd2 0.250 0.750 0.274
I1 0.250 0.250 0.469
```

Results
As for the calculated volume: 21.18 Å³ per atom. As for the crystal system: orthorhombic. Its size of the total moment is 0.000 μB per formula unit.

---

iii.
A geometry-optimized BiPd3I structure. Source: the Alexandria database, functional PBE.

```
data_BiPd3I
_chemical_formula_sum 'Bi1 Pd3 I1'
_space_group_name_H-M_alt 'P m -3 m'
_space_group_IT_number 221
_space_group_name_Hall '-P 4 2 3'
_cell_length_a 5.033
_cell_length_b 5.033
_cell_length_c 5.033
_cell_angle_alpha 90.00
_cell_angle_beta 90.00
_cell_angle_gamma 90.00
loop_
_atom_site_label
_atom_site_fract_x
_atom_site_fract_y
_atom_site_fract_z
Bi1 0.000 0.000 0.000
Pd1 0.000 0.500 0.500
I1 0.500 0.500 0.500
```

Results
As for the calculated volume: 25.50 Å³ per atom. As for the crystal system: cubic. Its size of the total moment is 0.000 μB per formula unit.

---

The structure with the least stability is i.

---

i.
A geometry-optimized Bi3PdI structure. Source: the Alexandria database, functional PBE.

```
data_Bi3PdI
_chemical_formula_sum 'Bi3 Pd1 I1'
_space_group_name_H-M_alt 'P m -3 m'
_space_group_IT_number 221
_space_group_name_Hall '-P 4 2 3'
_cell_length_a 5.483
_cell_length_b 5.483
_cell_length_c 5.483
_cell_angle_alpha 90.00
_cell_angle_beta 90.00
_cell_angle_gamma 90.00
loop_
_atom_site_label
_atom_site_fract_x
_atom_site_fract_y
_atom_site_fract_z
Bi1 0.000 0.000 0.500
Pd1 0.000 0.000 0.000
I1 0.500 0.500 0.500
```

Results
As for the calculated volume: 32.96 Å³ per atom. As for the crystal system: cubic. Its size of the total moment is 0.000 μB per formula unit.

---

ii.
A geometry-optimized Bi3PdI structure. Source: the Alexandria database, functional PBE.

```
data_Bi3PdI
_chemical_formula_sum 'Bi12 Pd4 I4'
_space_group_name_H-M_alt 'C 1 2/m 1'
_space_group_IT_number 12
_space_group_name_Hall '-C 2y'
_cell_length_a 12.795
_cell_length_b 7.322
_cell_length_c 8.251
_cell_angle_alpha 90.00
_cell_angle_beta 121.78
_cell_angle_gamma 90.00
loop_
_atom_site_label
_atom_site_fract_x
_atom_site_fract_y
_atom_site_fract_z
Bi1 0.069 0.000 0.248
Bi2 0.158 0.228 0.750
Pd1 0.179 0.000 0.037
I1 0.104 0.500 0.312
```

Results
As for the calculated volume: 32.85 Å³ per atom. As for the crystal system: monoclinic. Its size of the total moment is 0.000 μB per formula unit.

---

The structure with the least stability is i.

---

i.
A geometry-optimized BiPdI structure. Source: the Alexandria database, functional PBE.

```
data_BiPdI
_chemical_formula_sum 'Bi1 Pd1 I1'
_space_group_name_H-M_alt 'P 3 m 1'
_space_group_IT_number 156
_space_group_name_Hall 'P 3 -2"'
_cell_length_a 4.0804
_cell_length_b 4.0804
_cell_length_c 5.9018
_cell_angle_alpha 90.00
_cell_angle_beta 90.00
_cell_angle_gamma 120.00
loop_
_atom_site_label
_atom_site_fract_x
_atom_site_fract_y
_atom_site_fract_z
Bi1 0.0000 0.0000 0.0000
Pd1 0.3333 0.6667 0.7455
I1 0.6667 0.3333 0.4671
```

Results
As for the calculated volume: 28.37 Å³ per atom. As for the crystal system: trigonal. Its size of the total moment is 0.000 μB per formula unit.

---

ii.
A geometry-optimized BiPdI structure. Source: the Alexandria database, functional PBE.

```
data_BiPdI
_chemical_formula_sum 'Bi2 Pd2 I2'
_space_group_name_H-M_alt 'P -1'
_space_group_IT_number 2
_space_group_name_Hall '-P 1'
_cell_length_a 4.796
_cell_length_b 4.813
_cell_length_c 8.523
_cell_angle_alpha 98.68
_cell_angle_beta 100.49
_cell_angle_gamma 100.61
loop_
_atom_site_label
_atom_site_fract_x
_atom_site_fract_y
_atom_site_fract_z
Bi1 0.179 0.168 0.172
Pd1 0.307 0.691 0.999
I1 0.277 0.292 0.692
```

Results
As for the calculated volume: 31.11 Å³ per atom. As for the crystal system: triclinic. Its size of the total moment is 0.000 μB per formula unit.

---

The structure with the least stability is ii.

---

i.
A geometry-optimized BiPdI structure. Source: the Alexandria database, functional PBE.

```
data_BiPdI
_chemical_formula_sum 'Bi2 Pd2 I2'
_space_group_name_H-M_alt 'P 1 21/m 1'
_space_group_IT_number 11
_space_group_name_Hall '-P 2yb'
_cell_length_a 7.362
_cell_length_b 4.028
_cell_length_c 7.454
_cell_angle_alpha 90.00
_cell_angle_beta 113.66
_cell_angle_gamma 90.00
loop_
_atom_site_label
_atom_site_fract_x
_atom_site_fract_y
_atom_site_fract_z
Bi1 0.153 0.250 0.182
Pd1 0.253 0.750 0.983
I1 0.328 0.250 0.750
```

Results
As for the calculated volume: 33.74 Å³ per atom. As for the crystal system: monoclinic. Its size of the total moment is 0.000 μB per formula unit.

---

ii.
A geometry-optimized BiPdI structure. Source: the Alexandria database, functional PBE.

```
data_BiPdI
_chemical_formula_sum 'Bi2 Pd2 I2'
_space_group_name_H-M_alt 'P 1 m 1'
_space_group_IT_number 6
_space_group_name_Hall 'P -2y'
_cell_length_a 5.446
_cell_length_b 4.165
_cell_length_c 9.131
_cell_angle_alpha 90.00
_cell_angle_beta 90.12
_cell_angle_gamma 90.00
loop_
_atom_site_label
_atom_site_fract_x
_atom_site_fract_y
_atom_site_fract_z
Bi1 0.000 0.000 0.000
Bi2 0.500 0.500 0.112
Pd1 0.003 0.500 0.204
Pd2 0.502 0.000 0.908
I1 0.423 0.500 0.716
I2 0.922 0.000 0.395
```

Results
As for the calculated volume: 34.52 Å³ per atom. As for the crystal system: monoclinic. Its size of the total moment is 0.000 μB per formula unit.

---

The structure with the least stability is i.

---

i.
A geometry-optimized BiPdI3 structure. Source: the Alexandria database, functional PBE.

```
data_BiPdI3
_chemical_formula_sum 'Bi1 Pd1 I3'
_space_group_name_H-M_alt 'P m -3 m'
_space_group_IT_number 221
_space_group_name_Hall '-P 4 2 3'
_cell_length_a 5.463
_cell_length_b 5.463
_cell_length_c 5.463
_cell_angle_alpha 90.00
_cell_angle_beta 90.00
_cell_angle_gamma 90.00
loop_
_atom_site_label
_atom_site_fract_x
_atom_site_fract_y
_atom_site_fract_z
Bi1 0.000 0.000 0.000
Pd1 0.500 0.500 0.500
I1 0.000 0.500 0.500
```

Results
As for the calculated volume: 32.61 Å³ per atom. As for the crystal system: cubic. Its size of the total moment is 0.000 μB per formula unit.

---

ii.
A geometry-optimized BiPdI3 structure. Source: the Alexandria database, functional PBE.

```
data_BiPdI3
_chemical_formula_sum 'Bi1 Pd1 I3'
_space_group_name_H-M_alt 'P m -3 m'
_space_group_IT_number 221
_space_group_name_Hall '-P 4 2 3'
_cell_length_a 6.155
_cell_length_b 6.155
_cell_length_c 6.155
_cell_angle_alpha 90.00
_cell_angle_beta 90.00
_cell_angle_gamma 90.00
loop_
_atom_site_label
_atom_site_fract_x
_atom_site_fract_y
_atom_site_fract_z
Bi1 0.000 0.000 0.000
Pd1 0.500 0.500 0.500
I1 0.000 0.000 0.500
```

Results
As for the calculated volume: 46.63 Å³ per atom. As for the crystal system: cubic. Its size of the total moment is 0.235 μB per formula unit.

---

The structure with the least stability is ii.

---

i.
A geometry-optimized BiTe2PdI structure. Source: the Alexandria database, functional PBE.

```
data_BiTe2PdI
_chemical_formula_sum 'Bi1 Te2 Pd1 I1'
_space_group_name_H-M_alt 'P 4/m m m'
_space_group_IT_number 123
_space_group_name_Hall '-P 4 2'
_cell_length_a 5.334
_cell_length_b 5.334
_cell_length_c 5.390
_cell_angle_alpha 90.00
_cell_angle_beta 90.00
_cell_angle_gamma 90.00
loop_
_atom_site_label
_atom_site_fract_x
_atom_site_fract_y
_atom_site_fract_z
Bi1 0.000 0.000 0.000
Te1 0.000 0.500 0.500
Pd1 0.500 0.500 0.500
I1 0.500 0.500 0.000
```

Results
As for the calculated volume: 30.68 Å³ per atom. As for the crystal system: tetragonal. Its size of the total moment is 0.000 μB per formula unit.

---

ii.
A geometry-optimized BiTe2PdI structure. Source: the Alexandria database, functional PBE.

```
data_BiTe2PdI
_chemical_formula_sum 'Bi1 Te2 Pd1 I1'
_space_group_name_H-M_alt 'P 4/m m m'
_space_group_IT_number 123
_space_group_name_Hall '-P 4 2'
_cell_length_a 5.959
_cell_length_b 5.959
_cell_length_c 6.061
_cell_angle_alpha 90.00
_cell_angle_beta 90.00
_cell_angle_gamma 90.00
loop_
_atom_site_label
_atom_site_fract_x
_atom_site_fract_y
_atom_site_fract_z
Bi1 0.000 0.000 0.000
Te1 0.000 0.500 0.000
Pd1 0.500 0.500 0.500
I1 0.000 0.000 0.500
```

Results
As for the calculated volume: 43.04 Å³ per atom. As for the crystal system: tetragonal. Its size of the total moment is 1.476 μB per formula unit.

---

The structure with the least stability is ii.